Entry 1:
The following is a PBE-GGA calculation of a relaxed structure of RhS2Br, from the Alexandria database.

POSCAR file:
```
RhS2Br
1.0
3.3063 -1.9089 0.0000
0.0000 3.8178 0.0000
0.0000 0.0000 7.6038
S Rh Br
2 1 1
Cartesian
1.1021 1.9089 5.4507
2.2042 0.0000 2.6131
1.1021 1.9089 3.3829
0.0000 0.0000 7.2204
```

## Properties
The value obtained for the total energy is -4.17 eV per atom.

Entry 2:
The following is a PBE-GGA calculation of a relaxed structure of Rh3SBr, from the Alexandria database.

POSCAR file:
```
Rh3SBr
1.0
4.6197 0.0000 0.0000
0.0000 4.6197 0.0000
0.0000 0.0000 4.6197
S Rh Br
1 3 1
Cartesian
2.3099 2.3099 2.3099
0.0000 2.3099 0.0000
0.0000 0.0000 2.3099
2.3099 0.0000 0.0000
0.0000 0.0000 0.0000
```

## Properties
The value obtained for the total energy is -4.31 eV per atom.

Entry 3:
The following is a PBE-GGA calculation of a relaxed structure of RhS2Br, from the Alexandria database.

POSCAR file:
```
RhS2Br
1.0
6.5080 0.0000 0.0000
0.0000 8.3166 0.0000
0.0000 0.0000 6.3821
S Rh Br
8 4 4
Cartesian
1.9795 0.2012 0.7684
4.5284 8.1155 3.9595
1.2744 4.3595 3.9595
5.2335 3.9572 0.7684
1.3292 6.4780 3.8969
5.1788 1.8386 0.7058
1.9248 2.3197 0.7058
4.5831 5.9969 3.8969
0.1632 2.8896 5.6169
6.3447 5.4270 2.4259
3.0908 7.0480 2.4259
3.4172 1.2687 5.6169
5.1809 7.0771 0.8852
1.3270 1.2395 4.0763
4.5810 2.9188 4.0763
1.9270 5.3979 0.8852
```

## Properties
The value obtained for the total energy is -4.54 eV per atom.

Entry 4:
The following is a PBE-GGA calculation of a relaxed structure of RhSBr2, from the Alexandria database.

POSCAR file:
```
RhSBr2
1.0
1.7100 0.0000 11.8268
-0.8550 1.4809 11.8268
-0.8550 -1.4809 11.8268
S Rh Br
1 1 2
Cartesian
0.0000 0.0000 17.7402
0.0000 0.0000 0.0000
0.0000 0.0000 33.0981
0.0000 0.0000 2.3824
```

## Properties
The value obtained for the total energy is -3.07 eV per atom.

Which value of total energy does entry 2 give?
-4.31 eV per atom